[1]
An optimized crystal structure of ZrBRh3. Source: Alexandria via LeMat-Bulk, functional PBE.

Lattice parameters (Å, degrees): 5.6404 5.6865 5.8489 76.68 61.20 60.28
With the nearest neighbours (Å) after each atom.
Element x y z (fractional)
Zr 0.0000 0.0000 0.0000  9 Rh 2.76-3.00
Zr 0.4590 0.4195 0.6644  1 B 2.48, 1 Rh 2.75
B 0.2312 0.1996 0.3359  6 Rh 2.05-2.18
B 0.4920 0.7290 0.2872  5 Rh 2.01-2.11
Rh 0.0203 0.9366 0.5155  2 B 2.11-2.14
Rh 0.4468 0.4551 0.1457  2 B 2.09-2.13
Rh 0.5283 0.9380 0.5140  2 B 2.11-2.15
Rh 0.5302 0.9663 0.9720  2 B 2.01-2.18
Rh 0.9459 0.4529 0.6558  1 B 2.05
Rh 0.9534 0.4569 0.1445  2 B 2.09-2.12

Properties
The space group is No. 1. For the raw total energy, the calculation gives -80.8 eV for the cell shown.

---

[2]
An optimized crystal structure of SmP3Rh5. Source: Alexandria via LeMat-Bulk, functional PBE.

Lattice parameters (Å, degrees): 6.3412 6.3412 12.2199 90.00 90.00 144.27
With the nearest neighbours (Å) after each atom.
Element x y z (fractional)
Sm 0.1468 0.8532 0.7500  7 P 3.18-3.46, 10 Rh 3.34-3.53
Sm 0.8532 0.1468 0.2500  7 P 3.18-3.46, 10 Rh 3.34-3.53
P 0.1163 0.8837 0.2500  6 Rh 2.39-2.45
P 0.3899 0.6101 0.0456  5 Rh 2.20-2.42
P 0.3899 0.6101 0.4544  5 Rh 2.20-2.42
P 0.6101 0.3899 0.5456  5 Rh 2.20-2.42
P 0.6101 0.3899 0.9544  5 Rh 2.20-2.42
P 0.8837 0.1163 0.7500  6 Rh 2.39-2.45
Rh 0.0000 0.0000 0.0000  4 P 2.42, 4 Rh 2.70
Rh 0.0000 0.0000 0.5000  4 P 2.42, 4 Rh 2.70
Rh 0.2109 0.7891 0.0785  2 P 2.20-2.39
Rh 0.2109 0.7891 0.4215  2 P 2.20-2.39
Rh 0.4399 0.5601 0.6413  4 P 2.36-2.45
Rh 0.4399 0.5601 0.8587  4 P 2.36-2.45
Rh 0.5601 0.4399 0.1413  4 P 2.36-2.45
Rh 0.5601 0.4399 0.3587  4 P 2.36-2.45
Rh 0.7891 0.2109 0.5785  2 P 2.20-2.39
Rh 0.7891 0.2109 0.9215  2 P 2.20-2.39

Properties
The space group is No. 63. For the raw total energy, the calculation gives -130.3 eV for the cell shown.

---

no.,volume (Å³ per cell)
1,142.8
2,287.0